# 1
Below is an optimized crystal structure of UPPd, with properties calculated at the PBE-GGA level.

POSCAR file:
```
UPPd
1.0
3.593 0.000 0.000
0.000 3.593 0.000
-1.796 -1.796 4.357
Pd P U
1 1 1
direct
0.955 0.955 0.910
0.270 0.270 0.541
0.625 0.625 0.249
```

# 2
Below is an optimized crystal structure of Ca2PbW, with properties calculated at the PBE-GGA level.

POSCAR file:
```
Ca2PbW
1.0
5.717 -0.034 -0.053
1.942 5.377 0.053
-3.792 -2.724 3.298
Ca W Pb
2 1 1
direct
0.000 0.000 0.000
0.500 0.500 0.000
0.250 0.750 0.500
0.750 0.250 0.500
```

# 3
Below is an optimized crystal structure of PaI3Br3, with properties calculated at the PBE-GGA level.

Output
The energy relative to the elements, uncorrected comes out at -0.88 eV per atom.

POSCAR file:
```
PaI3Br3
1.0
-4.814 -5.945 -1.456
7.392 -1.971 -1.452
-0.829 2.538 7.315
I Br Pa
3 3 1
direct
0.342 0.032 0.032
0.032 0.032 0.342
0.032 0.342 0.032
0.544 0.544 0.836
0.544 0.836 0.544
0.836 0.544 0.544
0.869 0.869 0.869
```

# 4
Below is an optimized crystal structure of Tl2Hg5, with properties calculated at the PBE-GGA level.

POSCAR file:
```
Tl2Hg5
1.0
-3.811 2.618 -2.626
-0.674 -0.809 -5.212
-6.693 -5.360 -1.016
Hg Tl
5 2
direct
0.077 0.077 0.768
0.923 0.923 0.232
0.500 0.500 0.500
0.785 0.785 0.644
0.215 0.215 0.356
0.365 0.365 0.905
0.635 0.635 0.095
```

# 5
Below is an optimized crystal structure of Mo2PdRu2, with properties calculated at the PBE-GGA level.

POSCAR file:
```
Mo2PdRu2
1.0
7.361 0.000 0.000
0.000 7.361 0.000
0.000 0.000 2.881
Ru Pd Mo
4 2 4
direct
0.866 0.634 0.000
0.366 0.866 0.000
0.134 0.366 0.000
0.634 0.134 0.000
0.500 0.500 0.000
0.000 0.000 0.000
0.335 0.165 0.500
0.835 0.335 0.500
0.165 0.665 0.500
0.665 0.835 0.500
```

# 6
Below is an optimized crystal structure of TeIr2, with properties calculated at the PBE-GGA level.

Output
The energy relative to the elements, uncorrected comes out at 0.55 eV per atom.

POSCAR file:
```
TeIr2
1.0
1.496 -7.359 0.000
1.496 7.359 0.000
0.000 0.000 4.663
Te Ir
2 4
direct
0.893 0.107 0.250
0.107 0.893 0.750
0.234 0.766 0.250
0.435 0.565 0.750
0.565 0.435 0.250
0.766 0.234 0.750
```

# 7
Below is an optimized crystal structure of NpCr2Si2, with properties calculated at the PBE-GGA level.

Output
The energy relative to the elements, uncorrected comes out at -0.17 eV per atom.

POSCAR file:
```
NpCr2Si2
1.0
5.986 0.202 0.000
3.393 4.936 0.000
-4.690 -2.569 2.699
Cr Np Si
2 1 2
direct
0.750 0.250 0.500
0.250 0.750 0.500
0.000 0.000 0.000
0.387 0.387 0.000
0.613 0.613 0.000
```

# 8
Below is an optimized crystal structure of AlVAsSe2, with properties calculated at the PBE-GGA level.

Output
The energy relative to the elements, uncorrected comes out at 0.12 eV per atom.

POSCAR file:
```
AlVAsSe2
1.0
4.831 0.000 0.000
0.000 4.831 0.000
0.000 0.000 4.834
Se As Al V
2 1 1 1
direct
0.000 0.500 0.000
0.500 0.000 0.000
0.000 0.000 0.500
0.500 0.500 0.500
0.000 0.000 0.000
```

# 9
Below is an optimized crystal structure of TbSm6Hg2, with properties calculated at the PBE-GGA level.

POSCAR file:
```
TbSm6Hg2
1.0
3.768 0.000 0.000
1.884 6.403 0.434
1.884 1.747 11.614
Hg Tb Sm
2 1 6
direct
0.361 0.081 0.198
0.639 0.919 0.802
0.000 0.000 0.000
0.687 0.502 0.124
0.690 0.209 0.411
0.310 0.791 0.589
0.980 0.703 0.338
0.020 0.297 0.662
0.313 0.498 0.876
```

# 10
Below is an optimized crystal structure of Th5ZnTe4, with properties calculated at the PBE-GGA level.

Output
The energy relative to the elements, uncorrected comes out at -0.85 eV per atom.

POSCAR file:
```
Th5ZnTe4
1.0
-1.923 -0.922 5.879
-5.647 -5.241 0.677
3.815 -5.547 3.717
Th Te Zn
5 4 1
direct
0.897 0.380 0.826
0.278 0.827 0.618
0.725 0.173 0.382
0.105 0.620 0.174
0.500 0.000 0.000
0.192 0.222 0.398
0.411 0.400 0.779
0.592 0.600 0.221
0.810 0.778 0.602
0.000 0.000 0.000
```

# 11
Below is an optimized crystal structure of PuSc2Cd, with properties calculated at the PBE-GGA level.

POSCAR file:
```
PuSc2Cd
1.0
3.204 0.000 0.000
1.602 2.774 0.000
1.602 0.925 11.210
Cd Sc Pu
1 2 1
direct
0.500 0.500 0.500
0.908 0.908 0.277
0.092 0.092 0.723
0.000 0.000 0.000
```

# 12
Below is an optimized crystal structure of RbScCuBr5, with properties calculated at the PBE-GGA level.

Output
The energy relative to the elements, uncorrected comes out at -1.35 eV per atom.

POSCAR file:
```
RbScCuBr5
1.0
7.645 0.056 -0.034
-2.178 7.328 -0.034
-2.310 -3.121 9.421
Br Cu Sc Rb
10 2 2 2
direct
0.068 0.932 0.250
0.227 0.369 0.572
0.932 0.068 0.750
0.773 0.631 0.428
0.301 0.901 0.601
0.699 0.099 0.399
0.901 0.301 0.101
0.369 0.227 0.072
0.099 0.699 0.899
0.631 0.773 0.928
0.691 0.309 0.250
0.309 0.691 0.750
0.000 0.000 0.500
0.000 0.000 0.000
0.347 0.653 0.250
0.653 0.347 0.750
```

# 13
Below is an optimized crystal structure of CeBeH, with properties calculated at the PBE-GGA level.

POSCAR file:
```
CeBeH
1.0
3.013 0.000 0.000
0.000 3.013 0.000
-1.506 -1.506 4.928
Ce H Be
1 1 1
direct
0.579 0.579 0.157
0.990 0.990 0.981
0.281 0.281 0.562
```

# 14
Below is an optimized crystal structure of Cs2KCd2Bi2, with properties calculated at the PBE-GGA level.

POSCAR file:
```
Cs2KCd2Bi2
1.0
5.382 0.000 0.000
2.691 4.661 0.000
2.691 1.554 13.815
Bi Cd Cs K
2 2 2 1
direct
0.285 0.285 0.144
0.715 0.715 0.856
0.632 0.632 0.104
0.368 0.368 0.896
0.106 0.106 0.683
0.894 0.894 0.317
0.000 0.000 0.000
```

# 15
Below is an optimized crystal structure of GaBi3O6, with properties calculated at the PBE-GGA level.

Output
The energy relative to the elements, uncorrected comes out at -1.36 eV per atom.

POSCAR file:
```
GaBi3O6
1.0
5.641 0.000 0.000
0.000 7.284 -1.658
0.000 0.010 7.471
Bi O Ga
6 12 2
direct
0.947 0.602 0.398
0.447 0.398 0.602
0.470 0.917 0.697
0.970 0.697 0.917
0.970 0.083 0.303
0.470 0.303 0.083
0.685 0.215 0.785
0.711 0.639 0.672
0.185 0.785 0.215
0.665 0.901 0.419
0.665 0.581 0.099
0.653 0.953 0.047
0.211 0.361 0.328
0.165 0.099 0.581
0.165 0.419 0.901
0.153 0.047 0.953
0.211 0.672 0.639
0.711 0.328 0.361
0.509 0.808 0.192
0.009 0.192 0.808
```

# 16
Below is an optimized crystal structure of Ba3Br2O2, with properties calculated at the PBE-GGA level.

Output
The energy relative to the elements, uncorrected comes out at -2.39 eV per atom.

POSCAR file:
```
Ba3Br2O2
1.0
-5.654 0.568 3.089
-2.994 -9.865 -3.666
5.643 -5.959 11.426
Br Ba O
8 12 8
direct
0.250 0.324 0.712
0.250 0.176 0.212
0.750 0.394 0.059
0.750 0.106 0.559
0.750 0.824 0.788
0.750 0.676 0.288
0.250 0.606 0.941
0.250 0.894 0.441
0.250 0.931 0.934
0.250 0.213 0.462
0.250 0.633 0.700
0.750 0.133 0.800
0.750 0.787 0.538
0.750 0.367 0.300
0.750 0.069 0.066
0.250 0.287 0.962
0.750 0.431 0.566
0.250 0.867 0.200
0.250 0.569 0.434
0.750 0.713 0.038
0.502 0.880 0.073
0.002 0.380 0.427
0.998 0.620 0.573
0.502 0.620 0.573
0.998 0.880 0.073
0.498 0.380 0.427
0.002 0.120 0.927
0.498 0.120 0.927
```

# 17
Below is an optimized crystal structure of HfZr2Tl2, with properties calculated at the PBE-GGA level.

POSCAR file:
```
HfZr2Tl2
1.0
7.719 0.000 0.000
0.000 7.719 0.000
0.000 0.000 3.942
Zr Tl Hf
4 4 2
direct
0.169 0.669 0.500
0.669 0.831 0.500
0.831 0.331 0.500
0.331 0.169 0.500
0.635 0.135 0.000
0.865 0.635 0.000
0.365 0.865 0.000
0.135 0.365 0.000
0.000 0.000 0.000
0.500 0.500 0.000
```

# 18
Below is an optimized crystal structure of KP2PbCl, with properties calculated at the PBE-GGA level.

Output
The energy relative to the elements, uncorrected comes out at 0.16 eV per atom.

POSCAR file:
```
KP2PbCl
1.0
-3.805 -0.784 -3.778
3.648 -2.457 -3.164
-1.366 -5.188 2.453
P Pb K Cl
2 1 1 1
direct
0.000 0.500 0.000
0.500 0.000 0.000
0.000 0.000 0.000
0.500 0.500 0.500
0.000 0.000 0.500
```

# 19
Below is an optimized crystal structure of PrNdHoCd, with properties calculated at the PBE-GGA level.

POSCAR file:
```
PrNdHoCd
1.0
-0.826 -1.972 -3.029
3.554 -1.006 -0.314
-1.592 -7.235 5.144
Cd Nd Pr Ho
1 1 1 1
direct
0.000 0.000 0.559
0.500 0.500 0.793
0.000 0.000 0.080
0.500 0.500 0.354
```

# 20
Below is an optimized crystal structure of RbYBRu2, with properties calculated at the PBE-GGA level.

POSCAR file:
```
RbYBRu2
1.0
-4.564 -2.275 0.247
2.003 -3.695 2.993
-1.143 2.743 4.152
Rb B Ru Y
1 1 2 1
direct
0.500 0.500 0.500
0.000 0.500 0.000
0.500 0.000 0.000
0.000 0.000 0.500
0.000 0.000 0.000
```

# 21
Below is an optimized crystal structure of Ba4TaAu, with properties calculated at the PBE-GGA level.

POSCAR file:
```
Ba4TaAu
1.0
-3.060 -6.289 -0.002
-2.604 -2.623 5.937
-6.922 -0.521 0.853
Au Ba Ta
1 4 1
direct
0.000 0.000 0.000
0.875 0.375 0.375
0.375 0.375 0.875
0.375 0.875 0.375
0.375 0.375 0.375
0.750 0.750 0.750
```

# 22
Below is an optimized crystal structure of LiPrGa2Pd4, with properties calculated at the PBE-GGA level.

POSCAR file:
```
LiPrGa2Pd4
1.0
-1.594 4.025 0.003
-1.669 1.670 -3.628
-8.759 -1.140 0.921
Pr Pd Ga Li
1 4 2 1
direct
0.000 0.000 0.000
0.404 0.404 0.788
0.869 0.869 0.394
0.596 0.596 0.212
0.131 0.131 0.606
0.236 0.236 0.293
0.764 0.764 0.707
0.500 0.500 0.500
```

Number 1: total moment 0.432 μB per atom, E -7.7178 eV per atom. Number 2: total moment 0.624 μB per atom, E -4.5091 eV per atom. Number 3: total moment 0.000 μB per atom, E -3.6221 eV per atom. Number 4: total moment 0.000 μB per atom, E -0.8838 eV per atom. Number 5: total moment 0.000 μB per atom, E -8.9721 eV per atom. Number 6: total moment 0.000 μB per atom, E -6.4030 eV per atom. Number 7: total moment 0.938 μB per atom, E -8.7765 eV per atom. Number 8: total moment 0.029 μB per atom, E -4.7799 eV per atom. Number 9: total moment 0.000 μB per atom, E -3.9376 eV per atom. Number 10: total moment 0.000 μB per atom, E -5.9402 eV per atom. Number 11: total moment 1.344 μB per atom, E -6.7840 eV per atom. Number 12: total moment 0.016 μB per atom, E -3.8155 eV per atom. Number 13: total moment 0.000 μB per atom, E -3.9431 eV per atom. Number 14: total moment 0.000 μB per atom, E -2.0454 eV per atom. Number 15: total moment 0.000 μB per atom, E -5.8055 eV per atom. Number 16: total moment 0.000 μB per atom, E -5.1069 eV per atom. Number 17: total moment 0.001 μB per atom, E -6.2997 eV per atom. Number 18: total moment 0.376 μB per atom, E -3.3305 eV per atom. Number 19: total moment 0.000 μB per atom, E -3.9079 eV per atom. Number 20: total moment 0.420 μB per atom, E -4.6528 eV per atom. Number 21: total moment 0.801 μB per atom, E -2.7173 eV per atom. Number 22: total moment 0.000 μB per atom, E -4.9169 eV per atom.